1 | AgPd2Cl8 after structural relaxation, computed with PBE.

Cell lengths 7.535, 6.747, 10.115 Å; angles 116.64, 90.00, 123.94 degrees
Each line ends with the local moment (μB).
Atoms (fractional coordinates):
Cl: 0.264 0.101 0.194  0.07
Cl: 0.163 0.899 0.806  0.07
Cl: 0.860 0.719 0.330  0.04
Cl: 0.140 0.281 0.670  0.04
Cl: 0.837 0.101 0.194  0.07
Cl: 0.338 0.676 0.520  0.01
Cl: 0.736 0.899 0.806  0.07
Cl: 0.662 0.324 0.480  0.01
Pd: 0.900 0.799 0.584  0.26
Pd: 0.100 0.201 0.416  0.26
Ag: 0.000 0.000 0.000  0.00

Properties
Magnetic moment (μB/atom): 0.089
Density of states at the Fermi level (states/eV/cell): 6.26

=====

2 | AgPd2Cl8 after structural relaxation, computed with PBE.

Cell lengths 6.540, 7.691, 7.691 Å; angles 50.69, 70.33, 70.33 degrees
Each line ends with the local moment (μB).
Atoms (fractional coordinates):
Pd: 0.789 0.764 0.764  0.16
Pd: 0.211 0.236 0.236  0.16
Cl: 0.424 0.880 0.880  0.00
Cl: 0.112 0.370 0.887  0.05
Cl: 0.888 0.113 0.630  0.05
Cl: 0.888 0.630 0.113  0.05
Cl: 0.112 0.887 0.370  0.05
Cl: 0.576 0.120 0.120  0.00
Cl: 0.343 0.364 0.364  0.04
Cl: 0.657 0.636 0.636  0.04
Ag: 0.000 0.000 0.000  0.01

Properties
Magnetic moment (μB/atom): 0.064
Density of states at the Fermi level (states/eV/cell): 7.54

=====

Q: Which of them is the least stable? A: 2.